(1)
# AcTmSi (PBE, relaxed)
data_AcTmSi
_cell_length_a 5.250
_cell_length_b 5.250
_cell_length_c 5.250
_cell_angle_alpha 60.00
_cell_angle_beta 60.00
_cell_angle_gamma 60.00
_symmetry_space_group_name_H-M 'P 1'
_symmetry_Int_Tables_number 1
loop_
_symmetry_equiv_pos_as_xyz
'x,y,z'
loop_
_atom_site_label
_atom_site_type_symbol
_atom_site_fract_x
_atom_site_fract_y
_atom_site_fract_z
Tm1 Tm 0.750 0.750 0.750
Ac1 Ac 0.000 0.000 0.000
Si1 Si 0.250 0.250 0.250
# - Space-group type: F-43m
# - E above lowest polymorph: 90.1 kJ/mol of atoms

***

(2)
# Tb2Pa2O5 (PBE, relaxed)
data_Tb2Pa2O5
_cell_length_a 9.082
_cell_length_b 4.220
_cell_length_c 4.220
_cell_angle_alpha 90.00
_cell_angle_beta 90.00
_cell_angle_gamma 90.00
_symmetry_space_group_name_H-M 'P 1'
_symmetry_Int_Tables_number 1
loop_
_symmetry_equiv_pos_as_xyz
'x,y,z'
loop_
_atom_site_label
_atom_site_type_symbol
_atom_site_fract_x
_atom_site_fract_y
_atom_site_fract_z
Tb1 Tb 0.500 0.000 0.000
Tb2 Tb 0.000 0.000 0.000
O1 O 0.671 0.000 0.500
O2 O 0.329 0.500 0.000
O3 O 0.329 0.000 0.500
O4 O 0.500 0.500 0.500
O5 O 0.671 0.500 0.000
Pa1 Pa 0.254 0.500 0.500
Pa2 Pa 0.746 0.500 0.500
# - Space-group type: P4/mmm
# - E above lowest polymorph: 0.0 kJ/mol of atoms

***

(3)
# YTlCuAg (PBE, relaxed)
data_YTlCuAg
_cell_length_a 4.874
_cell_length_b 4.874
_cell_length_c 4.874
_cell_angle_alpha 60.00
_cell_angle_beta 60.00
_cell_angle_gamma 60.00
_symmetry_space_group_name_H-M 'P 1'
_symmetry_Int_Tables_number 1
loop_
_symmetry_equiv_pos_as_xyz
'x,y,z'
loop_
_atom_site_label
_atom_site_type_symbol
_atom_site_fract_x
_atom_site_fract_y
_atom_site_fract_z
Ag1 Ag 0.250 0.250 0.250
Cu1 Cu 0.750 0.750 0.750
Tl1 Tl 0.000 0.000 0.000
Y1 Y 0.500 0.500 0.500
# - Space-group type: F-43m
# - E above lowest polymorph: 0.0 kJ/mol of atoms

***

(4)
# InHgPO (PBE, relaxed)
data_InHgPO
_cell_length_a 4.002
_cell_length_b 6.588
_cell_length_c 6.475
_cell_angle_alpha 90.00
_cell_angle_beta 90.00
_cell_angle_gamma 90.00
_symmetry_space_group_name_H-M 'P 1'
_symmetry_Int_Tables_number 1
loop_
_symmetry_equiv_pos_as_xyz
'x,y,z'
loop_
_atom_site_label
_atom_site_type_symbol
_atom_site_fract_x
_atom_site_fract_y
_atom_site_fract_z
P1 P 0.000 0.818 0.365
P2 P 0.000 0.182 0.865
O1 O 0.500 0.316 0.395
O2 O 0.500 0.684 0.895
In1 In 0.000 0.192 0.471
In2 In 0.000 0.808 0.971
Hg1 Hg 0.500 0.667 0.522
Hg2 Hg 0.500 0.333 0.022
# - Space-group type: Pmc2_1
# - E above lowest polymorph: 8.6 kJ/mol of atoms

***

(5)
# Be3Nb2Ir (PBE, relaxed)
data_Be3Nb2Ir
_cell_length_a 4.785
_cell_length_b 4.785
_cell_length_c 7.671
_cell_angle_alpha 90.00
_cell_angle_beta 90.00
_cell_angle_gamma 120.00
_symmetry_space_group_name_H-M 'P 1'
_symmetry_Int_Tables_number 1
loop_
_symmetry_equiv_pos_as_xyz
'x,y,z'
loop_
_atom_site_label
_atom_site_type_symbol
_atom_site_fract_x
_atom_site_fract_y
_atom_site_fract_z
Nb1 Nb 0.333 0.667 0.441
Nb2 Nb 0.333 0.667 0.059
Nb3 Nb 0.667 0.333 0.559
Nb4 Nb 0.667 0.333 0.941
Be1 Be 0.170 0.830 0.750
Be2 Be 0.830 0.660 0.250
Be3 Be 0.170 0.340 0.750
Be4 Be 0.830 0.170 0.250
Be5 Be 0.660 0.830 0.750
Be6 Be 0.340 0.170 0.250
Ir1 Ir 0.000 0.000 0.500
Ir2 Ir 0.000 0.000 0.000
# - Space-group type: P6_3/mmc
# - Final energy: -7.108 eV per atom

***

(6)
# KBeFe (PBE, relaxed)
data_KBeFe
_cell_length_a 4.650
_cell_length_b 4.650
_cell_length_c 4.650
_cell_angle_alpha 60.00
_cell_angle_beta 60.00
_cell_angle_gamma 60.00
_symmetry_space_group_name_H-M 'P 1'
_symmetry_Int_Tables_number 1
loop_
_symmetry_equiv_pos_as_xyz
'x,y,z'
loop_
_atom_site_label
_atom_site_type_symbol
_atom_site_fract_x
_atom_site_fract_y
_atom_site_fract_z
K1 K 0.750 0.750 0.750
Fe1 Fe 0.250 0.250 0.250
Be1 Be 0.000 0.000 0.000
# - Space-group type: F-43m
# - E above lowest polymorph: 0.0 kJ/mol of atoms

***

(7)
# U3S5 (PBE, relaxed)
data_U3S5
_cell_length_a 7.274
_cell_length_b 7.825
_cell_length_c 11.522
_cell_angle_alpha 90.00
_cell_angle_beta 90.00
_cell_angle_gamma 90.00
_symmetry_space_group_name_H-M 'P 1'
_symmetry_Int_Tables_number 1
loop_
_symmetry_equiv_pos_as_xyz
'x,y,z'
loop_
_atom_site_label
_atom_site_type_symbol
_atom_site_fract_x
_atom_site_fract_y
_atom_site_fract_z
U1 U 0.525 0.998 0.679
U2 U 0.475 0.498 0.321
U3 U 0.422 0.750 0.008
U4 U 0.578 0.250 0.992
U5 U 0.975 0.998 0.179
U6 U 0.975 0.502 0.179
U7 U 0.525 0.502 0.679
U8 U 0.475 0.002 0.321
U9 U 0.025 0.002 0.821
U10 U 0.078 0.750 0.508
U11 U 0.025 0.498 0.821
U12 U 0.922 0.250 0.492
S1 S 0.965 0.250 0.000
S2 S 0.329 0.452 0.097
S3 S 0.171 0.048 0.597
S4 S 0.671 0.952 0.903
S5 S 0.331 0.250 0.811
S6 S 0.329 0.048 0.097
S7 S 0.831 0.750 0.689
S8 S 0.535 0.250 0.500
S9 S 0.700 0.250 0.219
S10 S 0.035 0.750 0.000
S11 S 0.829 0.548 0.403
S12 S 0.300 0.750 0.781
S13 S 0.671 0.548 0.903
S14 S 0.200 0.750 0.281
S15 S 0.829 0.952 0.403
S16 S 0.800 0.250 0.719
S17 S 0.465 0.750 0.500
S18 S 0.669 0.750 0.189
S19 S 0.171 0.452 0.597
S20 S 0.169 0.250 0.311
# - Space-group type: Pnma
# - E above lowest polymorph: 0.0 kJ/mol of atoms

***

(8)
# Tm2ScAl3CuSi2 (PBE, relaxed)
data_Tm2ScAl3CuSi2
_cell_length_a 4.073
_cell_length_b 6.775
_cell_length_c 6.775
_cell_angle_alpha 119.66
_cell_angle_beta 90.00
_cell_angle_gamma 90.00
_symmetry_space_group_name_H-M 'P 1'
_symmetry_Int_Tables_number 1
loop_
_symmetry_equiv_pos_as_xyz
'x,y,z'
loop_
_atom_site_label
_atom_site_type_symbol
_atom_site_fract_x
_atom_site_fract_y
_atom_site_fract_z
Si1 Si 0.500 0.335 0.660
Si2 Si 0.500 0.660 0.335
Al1 Al 0.500 0.003 0.241
Al2 Al 0.500 0.241 0.003
Al3 Al 0.500 0.759 0.759
Tm1 Tm 0.000 0.591 0.999
Tm2 Tm 0.000 0.999 0.591
Sc1 Sc 0.000 0.405 0.405
Cu1 Cu 0.000 0.006 0.006
# - Space-group type: Amm2
# - Final energy: -5.188 eV per atom